No. 1
The following is a meta-GGA SCAN calculation of a PBEsol-optimized structure of CoIrRh2, from the Alexandria database.

Geometry as CIF:
```
data_CoIrRh2
_chemical_formula_sum 'Co2 Ir2 Rh4'
_cell_length_a 8.696
_cell_length_b 2.653
_cell_length_c 4.561
_cell_angle_alpha 90.00
_cell_angle_beta 100.55
_cell_angle_gamma 90.00
_symmetry_space_group_name_H-M 'C 1 m 1'
_symmetry_Int_Tables_number 8
_symmetry_space_group_name_Hall 'C -2y'
loop_
_atom_site_label
_atom_site_fract_x
_atom_site_fract_y
_atom_site_fract_z
_atom_site_occupancy
Co1 0.000 0.000 0.000 1
Ir1 0.255 0.000 0.754 1
Rh1 0.003 0.500 0.504 1
Rh2 0.248 0.500 0.243 1
```

Results
The energy relative to the lowest polymorph listed for this composition is 29 meV per atom. Its density is 14673 kg/m³.

No. 2
The following is a meta-GGA SCAN calculation of a PBEsol-optimized structure of CoIrRh2, from the Alexandria database.

Geometry as CIF:
```
data_CoIrRh2
_chemical_formula_sum 'Co2 Ir2 Rh4'
_cell_length_a 8.724
_cell_length_b 2.654
_cell_length_c 4.520
_cell_angle_alpha 90.00
_cell_angle_beta 100.39
_cell_angle_gamma 90.00
_symmetry_space_group_name_H-M 'C 1 2/m 1'
_symmetry_Int_Tables_number 12
_symmetry_space_group_name_Hall '-C 2y'
loop_
_atom_site_label
_atom_site_fract_x
_atom_site_fract_y
_atom_site_fract_z
_atom_site_occupancy
Co1 0.000 0.000 0.000 1
Ir1 0.000 0.500 0.500 1
Rh1 0.248 0.500 0.246 1
```

Results
The energy relative to the lowest polymorph listed for this composition is 44 meV per atom. Its density is 14744 kg/m³.

No. 3
The following is a meta-GGA SCAN calculation of a PBEsol-optimized structure of Co2IrRh, from the Alexandria database.

Geometry as CIF:
```
data_Co2IrRh
_chemical_formula_sum 'Co2 Ir1 Rh1'
_cell_length_a 3.685
_cell_length_b 3.685
_cell_length_c 3.531
_cell_angle_alpha 90.00
_cell_angle_beta 90.00
_cell_angle_gamma 90.00
_symmetry_space_group_name_H-M 'P 4/m m m'
_symmetry_Int_Tables_number 123
_symmetry_space_group_name_Hall '-P 4 2'
loop_
_atom_site_label
_atom_site_fract_x
_atom_site_fract_y
_atom_site_fract_z
_atom_site_occupancy
Co1 0.000 0.500 0.000 1
Ir1 0.000 0.000 0.500 1
Rh1 0.500 0.500 0.500 1
```

Results
The energy relative to the lowest polymorph listed for this composition is 60 meV per atom. Its density is 14307 kg/m³.

No. 4
The following is a meta-GGA SCAN calculation of a PBEsol-optimized structure of CoIrRh2, from the Alexandria database.

Geometry as CIF:
```
data_CoIrRh2
_chemical_formula_sum 'Co1 Ir1 Rh2'
_cell_length_a 2.652
_cell_length_b 3.680
_cell_length_c 5.282
_cell_angle_alpha 90.00
_cell_angle_beta 90.00
_cell_angle_gamma 90.00
_symmetry_space_group_name_H-M 'P m m 2'
_symmetry_Int_Tables_number 25
_symmetry_space_group_name_Hall 'P 2 -2'
loop_
_atom_site_label
_atom_site_fract_x
_atom_site_fract_y
_atom_site_fract_z
_atom_site_occupancy
Co1 0.000 0.000 0.000 1
Ir1 0.500 0.500 0.240 1
Rh1 0.000 0.000 0.497 1
Rh2 0.500 0.500 0.755 1
```

Results
The energy relative to the lowest polymorph listed for this composition is 44 meV per atom. Its density is 14719 kg/m³.

No. 5
The following is a meta-GGA SCAN calculation of a PBEsol-optimized structure of Co2IrRu, from the Alexandria database.

Geometry as CIF:
```
data_Co2IrRu
_chemical_formula_sum 'Co4 Ir2 Ru2'
_cell_length_a 3.595
_cell_length_b 3.595
_cell_length_c 7.386
_cell_angle_alpha 90.00
_cell_angle_beta 90.00
_cell_angle_gamma 90.00
_symmetry_space_group_name_H-M 'I -4 m 2'
_symmetry_Int_Tables_number 119
_symmetry_space_group_name_Hall 'I -4 -2'
loop_
_atom_site_label
_atom_site_fract_x
_atom_site_fract_y
_atom_site_fract_z
_atom_site_occupancy
Co1 0.000 0.000 0.000 1
Co2 0.000 0.500 0.250 1
Ir1 0.000 0.000 0.500 1
Ru1 0.000 0.500 0.750 1
```

Results
Its calculated total energy is -280.26 eV/cell. Its density is 14306 kg/m³.

No. 6
The following is a meta-GGA SCAN calculation of a PBEsol-optimized structure of CoIr2Ru, from the Alexandria database.

Geometry as CIF:
```
data_CoIr2Ru
_chemical_formula_sum 'Co1 Ir2 Ru1'
_cell_length_a 2.660
_cell_length_b 3.706
_cell_length_c 5.270
_cell_angle_alpha 90.00
_cell_angle_beta 90.00
_cell_angle_gamma 90.00
_symmetry_space_group_name_H-M 'P m m 2'
_symmetry_Int_Tables_number 25
_symmetry_space_group_name_Hall 'P 2 -2'
loop_
_atom_site_label
_atom_site_fract_x
_atom_site_fract_y
_atom_site_fract_z
_atom_site_occupancy
Co1 0.000 0.000 0.000 1
Ir1 0.000 0.000 0.507 1
Ir2 0.500 0.500 0.238 1
Ru1 0.500 0.500 0.758 1
```

Results
Its calculated total energy is -194.16 eV/cell. Its density is 17406 kg/m³.